PBE Nd2Mg2In, relaxed; DFT formation energy = -0.2228 eV/atom; electronic total energy = -3.315 eV/atom; polymorph energy (0 for the lowest one) = 0.000 eV per atom; space group = C2/m, No. 12
1.0
5.734 -2.599 0.000
5.734 2.599 0.000
-2.955 0.000 9.345
Nd Mg In
4 4 2
Cartesian
-0.433 0.000 3.270
1.781 0.000 0.582
6.733 0.000 8.763
8.947 0.000 6.076
2.947 0.000 3.903
5.141 0.000 1.323
3.373 0.000 8.023
5.567 0.000 5.442
0.830 0.000 6.565
7.684 0.000 2.781